Entry 1:
Below is IrCI2N at its PBEsol-relaxed geometry, with properties calculated at the SCAN level.

Output
* size of the total moment: 1.1 μB per formula unit
* electronic total energy: -31.10 eV per atom

Geometry as POSCAR:
```
IrCI2N
1.0
3.666 0.000 0.000
0.000 5.454 0.000
0.000 0.000 5.454
I C Ir N
2 1 1 1
Direct
0.000 0.000 0.500
0.000 0.500 0.000
0.500 0.500 0.500
0.000 0.000 0.000
0.500 0.000 0.000
```

Entry 2:
Below is IrCIN2 at its PBEsol-relaxed geometry, with properties calculated at the SCAN level.

Output
* size of the total moment: 0.9 μB per formula unit
* electronic total energy: -25.45 eV per atom

Geometry as POSCAR:
```
IrCIN2
1.0
-2.133 -2.736 -1.170
-0.573 -1.035 3.465
-6.300 4.750 0.378
I C Ir N
1 1 1 2
Direct
0.000 0.000 0.500
0.500 0.500 0.500
0.000 0.000 0.000
0.000 0.500 0.000
0.500 0.000 0.000
```

Entry 3:
Below is Te2IrCI at its PBEsol-relaxed geometry, with properties calculated at the SCAN level.

Output
* size of the total moment: 0.0 μB per formula unit
* electronic total energy: -36.74 eV per atom

Geometry as POSCAR:
```
Te2IrCI
1.0
4.636 0.000 0.000
0.000 4.636 0.000
0.000 0.000 4.579
I C Ir Te
1 1 1 2
Direct
0.000 0.000 0.500
0.000 0.000 0.000
0.500 0.500 0.500
0.000 0.500 0.000
0.500 0.000 0.000
```

Entry 4:
Below is KCIN2 at its PBEsol-relaxed geometry, with properties calculated at the SCAN level.

Output
* size of the total moment: 7.2 μB per formula unit
* electronic total energy: -11.85 eV per atom

Geometry as POSCAR:
```
KCIN2
1.0
-1.020 4.825 0.543
-1.538 0.205 -4.713
-6.350 -1.567 2.003
I K C N
1 1 1 2
Direct
0.000 0.000 0.500
0.000 0.000 0.000
0.500 0.500 0.500
0.000 0.500 0.000
0.500 0.000 0.000
```

Entry 5:
Below is KZr6CI14 at its PBEsol-relaxed geometry, with properties calculated at the SCAN level.

Output
* size of the total moment: 0.0 μB per formula unit
* electronic total energy: -33.70 eV per atom

Geometry as POSCAR:
```
KZr6CI14
1.0
10.610 -0.108 0.000
-0.932 10.569 0.000
0.000 0.000 12.655
K Zr C I
2 12 2 28
Direct
0.500 0.500 0.000
0.000 0.000 0.500
0.368 0.368 0.598
0.632 0.632 0.402
0.132 0.132 0.098
0.868 0.868 0.902
0.168 0.959 0.892
0.832 0.041 0.108
0.332 0.541 0.392
0.459 0.668 0.608
0.668 0.459 0.608
0.541 0.332 0.392
0.041 0.832 0.108
0.959 0.168 0.892
0.000 0.000 0.000
0.500 0.500 0.500
0.368 0.116 0.994
0.632 0.884 0.006
0.132 0.384 0.494
0.616 0.868 0.506
0.868 0.616 0.506
0.384 0.132 0.494
0.884 0.632 0.006
0.116 0.368 0.994
0.252 0.748 0.000
0.748 0.252 0.000
0.248 0.752 0.500
0.752 0.248 0.500
0.402 0.902 0.750
0.598 0.098 0.250
0.098 0.598 0.250
0.902 0.402 0.750
0.156 0.156 0.733
0.844 0.844 0.267
0.344 0.344 0.233
0.656 0.656 0.767
0.536 0.286 0.754
0.464 0.714 0.246
0.964 0.214 0.254
0.786 0.036 0.746
0.036 0.786 0.746
0.214 0.964 0.254
0.714 0.464 0.246
0.286 0.536 0.754
```

Entry 6:
Below is La5C2I9 at its PBEsol-relaxed geometry, with properties calculated at the SCAN level.

Output
* size of the total moment: 0.0 μB per formula unit
* electronic total energy: -36.88 eV per atom

Geometry as POSCAR:
```
La5C2I9
1.0
8.003 0.022 0.004
0.855 9.993 0.010
2.310 2.453 13.902
I C La
18 4 10
Direct
0.251 0.861 0.272
0.801 0.006 0.410
0.904 0.350 0.474
0.464 0.848 0.799
0.574 0.653 0.574
0.512 0.444 0.865
0.199 0.994 0.590
0.749 0.942 0.002
0.192 0.314 0.732
0.096 0.650 0.526
0.808 0.686 0.268
0.426 0.347 0.426
0.251 0.058 0.998
0.488 0.556 0.135
0.125 0.658 0.989
0.875 0.342 0.011
0.536 0.152 0.201
0.749 0.139 0.728
0.957 0.778 0.782
0.094 0.346 0.243
0.906 0.654 0.757
0.043 0.222 0.218
0.777 0.365 0.260
0.160 0.533 0.306
0.241 0.339 0.081
0.948 0.034 0.174
0.822 0.856 0.637
0.223 0.635 0.740
0.759 0.661 0.919
0.178 0.144 0.363
0.840 0.467 0.694
0.052 0.966 0.826
```

Entry 7:
Below is La3CI5 at its PBEsol-relaxed geometry, with properties calculated at the SCAN level.

Output
* size of the total moment: 0.0 μB per formula unit
* electronic total energy: -37.38 eV per atom

Geometry as POSCAR:
```
La3CI5
1.0
-5.178 -0.356 -5.956
-2.260 -7.393 5.684
-3.489 8.025 4.161
La C I
6 2 10
Direct
0.616 0.860 0.814
0.031 0.726 0.922
0.109 0.040 0.771
0.969 0.274 0.078
0.891 0.960 0.229
0.384 0.140 0.186
0.088 0.031 0.042
0.912 0.969 0.958
0.182 0.724 0.633
0.909 0.625 0.186
0.091 0.375 0.814
0.739 0.912 0.530
0.261 0.088 0.470
0.647 0.531 0.721
0.455 0.804 0.094
0.818 0.276 0.367
0.353 0.469 0.279
0.545 0.196 0.906
```

Entry 8:
Below is La2CI at its PBEsol-relaxed geometry, with properties calculated at the SCAN level.

Output
* size of the total moment: 0.0 μB per formula unit
* electronic total energy: -33.85 eV per atom

Geometry as POSCAR:
```
La2CI
1.0
6.661 0.043 0.069
-2.534 6.161 -0.069
-2.534 -2.789 5.494
I C La
2 2 4
Direct
0.000 0.000 0.000
0.500 0.750 0.250
0.000 0.500 0.500
0.500 0.250 0.750
0.901 0.526 0.125
0.099 0.224 0.625
0.599 0.375 0.474
0.401 0.875 0.776
```

Entry 9:
Below is La4C2I5 at its PBEsol-relaxed geometry, with properties calculated at the SCAN level.

Output
* size of the total moment: 0.0 μB per formula unit
* electronic total energy: -35.53 eV per atom

Geometry as POSCAR:
```
La4C2I5
1.0
-3.257 1.220 2.113
-5.207 -2.576 -6.538
3.542 -8.125 6.230
I C La
5 2 4
Direct
0.162 0.381 0.325
0.162 0.944 0.325
0.838 0.056 0.675
0.838 0.619 0.675
0.500 0.000 0.000
0.536 0.536 0.073
0.464 0.464 0.927
0.000 0.306 0.000
0.345 0.345 0.690
0.000 0.694 0.000
0.655 0.655 0.310
```

Entry 10:
Below is LaCI2 at its PBEsol-relaxed geometry, with properties calculated at the SCAN level.

Output
* size of the total moment: 3.0 μB per formula unit
* electronic total energy: -31.34 eV per atom

Geometry as POSCAR:
```
LaCI2
1.0
5.374 0.000 0.000
2.687 4.654 0.000
2.687 1.551 4.388
I C La
2 1 1
Direct
0.250 0.250 0.250
0.750 0.750 0.750
0.000 0.000 0.000
0.500 0.500 0.500
```

Entry 11:
Below is LaCI at its PBEsol-relaxed geometry, with properties calculated at the SCAN level.

Output
* size of the total moment: 0.0 μB per formula unit
* electronic total energy: -31.04 eV per atom

Geometry as POSCAR:
```
LaCI
1.0
-4.008 -0.831 0.183
2.703 -3.166 -1.056
0.896 -1.973 10.669
I C La
2 2 2
Direct
0.174 0.347 0.665
0.826 0.653 0.335
0.575 0.151 0.972
0.425 0.849 0.028
0.143 0.286 0.137
0.857 0.714 0.863
```

Entry 12:
Below is LaC2I2 at its PBEsol-relaxed geometry, with properties calculated at the SCAN level.

Output
* size of the total moment: 0.0 μB per formula unit
* electronic total energy: -25.92 eV per atom

Geometry as POSCAR:
```
LaC2I2
1.0
-1.408 1.449 2.959
-1.266 -7.325 2.985
7.256 0.128 3.391
I C La
4 4 2
Direct
0.000 0.352 0.852
0.000 0.852 0.648
0.000 0.648 0.148
0.000 0.148 0.352
0.500 0.234 0.734
0.500 0.734 0.766
0.500 0.766 0.266
0.500 0.266 0.234
0.000 0.000 0.000
0.000 0.500 0.500
```